Computed, not measured: an optimized crystal structure of Ga at the GGA-PBE level of DFT.

SG ... No. 229
Relative energy among the computed polymorphs ... 324 meV/atom
Magnetic moment ... 0.00 μB/f.u.

a b c (Å): 7.2175 7.2175 7.2175
angles (deg): 90.00 90.00 90.00
Fractional coordinates of all 12 atoms:
Ga (0.2500, 0.0000, 0.5000)
Ga (0.7500, 0.0000, 0.5000)
Ga (0.0000, 0.5000, 0.2500)
Ga (0.0000, 0.5000, 0.7500)
Ga (0.5000, 0.2500, 0.0000)
Ga (0.5000, 0.7500, 0.0000)
Ga (0.0000, 0.7500, 0.5000)
Ga (0.0000, 0.2500, 0.5000)
Ga (0.7500, 0.5000, 0.0000)
Ga (0.2500, 0.5000, 0.0000)
Ga (0.5000, 0.0000, 0.7500)
Ga (0.5000, 0.0000, 0.2500)

***

Computed, not measured: an optimized crystal structure of Ga at the GGA-PBE level of DFT.

SG ... No. 221
Relative energy among the computed polymorphs ... 76 meV/atom
Magnetic moment ... 0.00 μB/f.u.

a b c (Å): 2.7127 2.7127 2.7127
angles (deg): 90.00 90.00 90.00
Fractional coordinates of all 1 atoms:
Ga (0.0000, 0.0000, 0.0000)

***

Computed, not measured: an optimized crystal structure of Ga at the GGA-PBE level of DFT.

SG ... No. 74
Relative energy among the computed polymorphs ... 27 meV/atom
Magnetic moment ... 0.00 μB/f.u.

a b c (Å): 9.3050 5.1572 6.4919
angles (deg): 90.00 90.00 90.00
Fractional coordinates of all 16 atoms:
Ga (0.3607, 0.2500, 0.3758)
Ga (0.3607, 0.7500, 0.6242)
Ga (0.6393, 0.7500, 0.6242)
Ga (0.6393, 0.2500, 0.3758)
Ga (0.8607, 0.7500, 0.8758)
Ga (0.8607, 0.2500, 0.1242)
Ga (0.1393, 0.2500, 0.1242)
Ga (0.1393, 0.7500, 0.8758)
Ga (0.2500, 0.2500, 0.7500)
Ga (0.2500, 0.7500, 0.2500)
Ga (0.7500, 0.7500, 0.2500)
Ga (0.7500, 0.2500, 0.7500)
Ga (0.0000, 0.2500, 0.5437)
Ga (0.0000, 0.7500, 0.4563)
Ga (0.5000, 0.7500, 0.0437)
Ga (0.5000, 0.2500, 0.9563)

***

One value per record, in order, for formation energy from the elements: 323.6; 76.2; 27.3 meV per atom.
One value per record, in order, for electronic total energy: -2.703; -2.951; -3.000 eV/atom.